Entry 1:
VASP calculation (PBE-GGA) on a geometry-optimized Pa4GaNi structure.

The structure in POSCAR format:
```
Pa4GaNi
1.0
6.861 0.000 0.000
0.000 6.861 0.000
0.000 0.000 5.572
Pa Ga Ni
8 2 2
direct
0.136 0.347 0.000
0.136 0.653 0.500
0.347 0.136 0.500
0.347 0.864 0.000
0.653 0.136 0.000
0.653 0.864 0.500
0.864 0.347 0.500
0.864 0.653 0.000
0.500 0.500 0.250
0.500 0.500 0.750
0.000 0.000 0.250
0.000 0.000 0.750
```

Summary:
Energy   -7.99 eV/atom
Symmetry   P4/mcc
Energy relative to the elements   -1.130 eV per formula unit


Entry 2:
VASP calculation (PBE-GGA) on a geometry-optimized PaGaNi4 structure.

The structure in POSCAR format:
```
PaGaNi4
1.0
0.000 3.472 3.472
3.472 0.000 3.472
3.472 3.472 0.000
Pa Ga Ni
1 1 4
direct
0.000 0.000 0.000
0.750 0.750 0.750
0.376 0.376 0.376
0.376 0.376 0.871
0.376 0.871 0.376
0.871 0.376 0.376
```

Summary:
Energy   -6.40 eV/atom
Symmetry   F-43m
Energy relative to the elements   -2.749 eV per formula unit


Entry 3:
VASP calculation (PBE-GGA) on a geometry-optimized PaGa2Ni4 structure.

The structure in POSCAR format:
```
PaGa2Ni4
1.0
6.170 0.000 0.000
0.000 6.170 0.000
0.000 0.000 5.130
Pa Ga Ni
2 4 8
direct
0.000 0.000 0.000
0.500 0.500 0.500
0.000 0.500 0.250
0.000 0.500 0.750
0.500 0.000 0.250
0.500 0.000 0.750
0.200 0.200 0.500
0.200 0.800 0.500
0.300 0.300 0.000
0.300 0.700 0.000
0.700 0.300 0.000
0.700 0.700 0.000
0.800 0.200 0.500
0.800 0.800 0.500
```

Summary:
Energy   -6.03 eV/atom
Symmetry   I4/mmm
Energy relative to the elements   -3.512 eV per formula unit


In μB per formula unit, the total magnetization values for the records above are, in order, 0.00, 0.00, 0.00.